A relaxed Ce4Si2Ge crystal. Source: the Alexandria database, functional PBE.

Unit cell a=4.2779 b=4.2779 c=34.2722 alpha=90.00 beta=90.00 gamma=120.00
Space group R-3m (No. 166, hexagonal axes)
Asymmetric unit:
Ce (0.0000, 0.0000, 0.1170) x6
Ce (0.0000, 0.0000, 0.3102) x6
Si (0.0000, 0.0000, 0.4022) x6
Ge (0.0000, 0.0000, 0.5000) x3

Calculated values
Formation energy (no corrections), eV per formula unit: -3.1
DOS(E_F), states/eV/f.u.: 16.39

A relaxed Sm2AlGa12 crystal. Source: the Alexandria database, functional PBE.

Unit cell a=5.9244 b=5.9244 c=17.0168 alpha=90.00 beta=90.00 gamma=90.00
Space group P4/nbm (No. 125, origin choice 2)
Asymmetric unit:
Sm (0.2500, 0.7500, 0.2274) x4
Al (0.2500, 0.7500, 0.5000) x2
Ga (0.0012, 0.5012, 0.3964) x8
Ga (0.0710, 0.5710, 0.9333) x8
Ga (0.2500, 0.2500, 0.1531) x4
Ga (0.2500, 0.2500, 0.2996) x4

Calculated values
DOS(E_F), states/eV/f.u.: 3.40
Formation energy from the elements, meV per atom: -278

A relaxed BaY crystal. Source: the Alexandria database, functional PBE.

Unit cell a=6.3210 b=6.3210 c=10.2854 alpha=90.00 beta=90.00 gamma=120.00
Space group P6_3/mmc (No. 194)
Asymmetric unit:
Ba (0.0000, 0.0000, 0.2500) x2
Ba (0.3333, 0.6667, 0.2500) x2
Y (0.3333, 0.6667, 0.5848) x4

Calculated values
Relative energy among the computed polymorphs, meV per atom: 285.2
DOS(E_F), states/eV/f.u.: 3.70
Formation energy from the elements, meV per atom: 444

A relaxed GaSn2TePt crystal. Source: the Alexandria database, functional PBE.

Unit cell a=5.3308 b=5.3308 c=4.8164 alpha=90.00 beta=90.00 gamma=90.00
Space group P4/mmm (No. 123)
Asymmetric unit:
Ga (0.0000, 0.0000, 0.0000) x1
Sn (0.0000, 0.5000, 0.5000) x2
Te (0.5000, 0.5000, 0.0000) x1
Pt (0.0000, 0.0000, 0.5000) x1

Calculated values
Formation energy (no corrections), eV per formula unit: -1.2
Relative energy among the computed polymorphs, meV per atom: 0.0
DOS(E_F), states/eV/f.u.: 1.82

A relaxed NaAc2Pt2 crystal. Source: the Alexandria database, functional PBE.

Unit cell a=8.3195 b=8.3195 c=4.0732 alpha=90.00 beta=90.00 gamma=90.00
Space group P4/mbm (No. 127)
Asymmetric unit:
Na (0.0000, 0.0000, 0.0000) x2
Ac (0.1631, 0.3369, 0.5000) x4
Pt (0.1334, 0.6334, 0.0000) x4

Calculated values
DOS(E_F), states/eV/f.u.: 3.01
Formation energy from the elements, meV per atom: -869

A relaxed Hg2TePdRu crystal. Source: the Alexandria database, functional PBE.

Unit cell a=5.2139 b=5.2139 c=4.8143 alpha=90.00 beta=90.00 gamma=90.00
Space group P4/mmm (No. 123)
Asymmetric unit:
Hg (0.0000, 0.5000, 0.0000) x2
Te (0.0000, 0.0000, 0.5000) x1
Pd (0.5000, 0.5000, 0.5000) x1
Ru (0.5000, 0.5000, 0.0000) x1

Calculated values
Formation energy (no corrections), eV per formula unit: 4.2
DOS(E_F), states/eV/f.u.: 5.14

no.,mass density (Mg/m³),VASP energy (eV/atom)
1,6.3,-6.036
2,6.5,-3.578
3,4.2,-3.749
4,7.6,-4.279
5,10.2,-5.193
6,9.3,-2.796